Crystalline BeCoAsBr2 at its relaxed geometry, computed with PBE. Values from VASP.

```
&SYSTEM
  ibrav = 0, nat = 5, ntyp = 4
/
ATOMIC_SPECIES
Be 9.01 Be.upf
Co 58.93 Co.upf
As 74.92 As.upf
Br 79.90 Br.upf
ATOMIC_POSITIONS crystal
Be 0.000 0.000 0.000
Co 0.500 0.500 0.500
As 0.000 0.000 0.500
Br 0.000 0.500 0.000
Br 0.500 0.000 0.000
CELL_PARAMETERS angstrom
4.795 0.000 0.000
0.000 4.795 0.000
0.000 0.000 4.565
```

As for the offset from the most stable computed form: 0.040 eV/atom. The density of states at the Fermi level comes out at 7.107 states/eV/cell. The symmetry is P4/mmm (123). The calculation puts the energy relative to the elements, uncorrected at 0.720 eV/atom.

=====

Crystalline BeCoAsBr2 at its relaxed geometry, computed with PBE. Values from VASP.

```
&SYSTEM
  ibrav = 0, nat = 5, ntyp = 4
/
ATOMIC_SPECIES
Be 9.01 Be.upf
Co 58.93 Co.upf
As 74.92 As.upf
Br 79.90 Br.upf
ATOMIC_POSITIONS crystal
Be 0.000 0.000 0.000
Co 0.500 0.500 0.500
As 0.500 0.500 0.000
Br 0.000 0.500 0.500
Br 0.500 0.000 0.500
CELL_PARAMETERS angstrom
5.025 0.000 0.000
0.000 5.025 0.000
0.000 0.000 4.436
```

As for the offset from the most stable computed form: 0.000 eV/atom. The density of states at the Fermi level comes out at 3.338 states/eV/cell. The symmetry is P4/mmm (123). The calculation puts the energy relative to the elements, uncorrected at 0.680 eV/atom.

=====

Crystalline BeCuAs2Br at its relaxed geometry, computed with PBE. Values from VASP.

```
&SYSTEM
  ibrav = 0, nat = 5, ntyp = 4
/
ATOMIC_SPECIES
Be 9.01 Be.upf
Cu 63.55 Cu.upf
As 74.92 As.upf
Br 79.90 Br.upf
ATOMIC_POSITIONS crystal
Be 0.000 0.000 0.000
Cu 0.500 0.500 0.500
As 0.000 0.500 0.500
As 0.500 0.000 0.500
Br 0.500 0.500 0.000
CELL_PARAMETERS angstrom
4.688 0.000 0.000
0.000 4.688 0.000
0.000 0.000 5.083
```

As for the offset from the most stable computed form: 0.320 eV/atom. The density of states at the Fermi level comes out at 3.621 states/eV/cell. The symmetry is P4/mmm (123). The calculation puts the energy relative to the elements, uncorrected at 0.969 eV/atom.

=====

Crystalline BeCuAsBr2 at its relaxed geometry, computed with PBE. Values from VASP.

```
&SYSTEM
  ibrav = 0, nat = 5, ntyp = 4
/
ATOMIC_SPECIES
Be 9.01 Be.upf
Cu 63.55 Cu.upf
As 74.92 As.upf
Br 79.90 Br.upf
ATOMIC_POSITIONS crystal
Be 0.000 0.000 0.000
Cu 0.500 0.500 0.500
As 0.000 0.000 0.500
Br 0.000 0.500 0.000
Br 0.500 0.000 0.000
CELL_PARAMETERS angstrom
4.940 0.000 0.000
0.000 4.940 0.000
0.000 0.000 4.437
```

As for the offset from the most stable computed form: 0.000 eV/atom. The density of states at the Fermi level comes out at 3.842 states/eV/cell. The symmetry is P4/mmm (123). The calculation puts the energy relative to the elements, uncorrected at 0.482 eV/atom.

=====

Crystalline BeCuAsBr2 at its relaxed geometry, computed with PBE. Values from VASP.

```
&SYSTEM
  ibrav = 0, nat = 5, ntyp = 4
/
ATOMIC_SPECIES
Be 9.01 Be.upf
Cu 63.55 Cu.upf
As 74.92 As.upf
Br 79.90 Br.upf
ATOMIC_POSITIONS crystal
Be 0.000 0.000 0.000
Cu 0.500 0.500 0.500
As 0.500 0.500 0.000
Br 0.000 0.500 0.500
Br 0.500 0.000 0.500
CELL_PARAMETERS angstrom
4.999 0.000 0.000
0.000 4.999 0.000
0.000 0.000 4.845
```

As for the offset from the most stable computed form: 0.295 eV/atom. The density of states at the Fermi level comes out at 3.571 states/eV/cell. The symmetry is P4/mmm (123). The calculation puts the energy relative to the elements, uncorrected at 0.778 eV/atom.

=====

Crystalline BeCuAs2Br at its relaxed geometry, computed with PBE. Values from VASP.

```
&SYSTEM
  ibrav = 0, nat = 5, ntyp = 4
/
ATOMIC_SPECIES
Be 9.01 Be.upf
Cu 63.55 Cu.upf
As 74.92 As.upf
Br 79.90 Br.upf
ATOMIC_POSITIONS crystal
Be 0.000 0.000 0.000
Cu 0.500 0.500 0.500
As 0.000 0.500 0.000
As 0.500 0.000 0.000
Br 0.000 0.000 0.500
CELL_PARAMETERS angstrom
4.397 0.000 0.000
0.000 4.397 0.000
0.000 0.000 5.180
```

As for the offset from the most stable computed form: 0.000 eV/atom. The density of states at the Fermi level comes out at 2.623 states/eV/cell. The symmetry is P4/mmm (123). The calculation puts the energy relative to the elements, uncorrected at 0.649 eV/atom.